1.
DFT (PBE) results for crystalline CdSnH2 at its relaxed geometry.

Lattice parameters (Å, degrees): 6.156 6.156 6.156 90.00 90.00 90.00
Fractional coordinates of all 16 atoms:
Cd (0.000, 0.000, 0.000)
Cd (0.000, 0.500, 0.500)
Cd (0.500, 0.000, 0.500)
Cd (0.500, 0.500, 0.000)
Sn (0.000, 0.000, 0.500)
Sn (0.000, 0.500, 0.000)
Sn (0.500, 0.000, 0.000)
Sn (0.500, 0.500, 0.500)
H (0.250, 0.250, 0.250)
H (0.250, 0.250, 0.750)
H (0.250, 0.750, 0.250)
H (0.250, 0.750, 0.750)
H (0.750, 0.250, 0.250)
H (0.750, 0.250, 0.750)
H (0.750, 0.750, 0.250)
H (0.750, 0.750, 0.750)

Calculated values
As for the symmetry: Fm-3m (225). The value obtained for the density is 6.64 Mg/m³. The calculation puts the total magnetic moment at 0.00 μB/cell. As for the crystal system: cubic. The energy relative to the lowest polymorph listed for this composition comes out at 532 meV/atom.

2.
DFT (PBE) results for crystalline HgSb2TeMo at its relaxed geometry.

Lattice parameters (Å, degrees): 5.468 5.468 5.619 90.00 90.00 90.00
Fractional coordinates of all 5 atoms:
Hg (0.000, 0.000, 0.000)
Sb (0.000, 0.500, 0.000)
Sb (0.500, 0.000, 0.000)
Te (0.000, 0.000, 0.500)
Mo (0.500, 0.500, 0.500)

Calculated values
The value obtained for the uncorrected formation energy is 1420 meV per atom. As for the symmetry: P4/mmm (123). The value obtained for the density is 6.60 Mg/m³. The calculation puts the total magnetic moment at 3.43 μB/cell. As for the crystal system: tetragonal. The energy relative to the lowest polymorph listed for this composition comes out at 1018 meV/atom.

3.
DFT (PBE) results for crystalline Pm6CdGe5 at its relaxed geometry.

Lattice parameters (Å, degrees): 7.608 7.608 7.281 100.11 100.11 120.53
Fractional coordinates of all 12 atoms:
Pm (0.055, 0.411, 0.733)
Pm (0.232, 0.232, 0.259)
Pm (0.411, 0.055, 0.733)
Pm (0.589, 0.945, 0.267)
Pm (0.768, 0.768, 0.741)
Pm (0.945, 0.589, 0.267)
Cd (0.500, 0.500, 0.000)
Ge (0.000, 0.000, 0.500)
Ge (0.168, 0.832, 0.000)
Ge (0.346, 0.654, 0.500)
Ge (0.654, 0.346, 0.500)
Ge (0.832, 0.168, 0.000)

Calculated values
As for the symmetry: C2/m (12). The value obtained for the density is 6.58 Mg/m³. The calculation puts the total magnetic moment at 0.00 μB/cell. As for the crystal system: monoclinic. The value obtained for the formation energy from the elements is -0.6101 eV per atom.

4.
DFT (PBE) results for crystalline CeHoVN3 at its relaxed geometry.

Lattice parameters (Å, degrees): 7.279 3.420 7.526 90.00 98.48 90.00
Fractional coordinates of all 12 atoms:
Ce (0.173, 0.250, 0.173)
Ce (0.827, 0.750, 0.827)
Ho (0.364, 0.750, 0.834)
Ho (0.636, 0.250, 0.166)
V (0.090, 0.250, 0.599)
V (0.910, 0.750, 0.401)
N (0.121, 0.250, 0.851)
N (0.170, 0.750, 0.517)
N (0.396, 0.750, 0.144)
N (0.604, 0.250, 0.856)
N (0.830, 0.250, 0.483)
N (0.879, 0.750, 0.149)

Calculated values
The value obtained for the uncorrected formation energy is -1253 meV per atom. As for the symmetry: P2_1/m (11). The value obtained for the density is 7.13 Mg/m³. The calculation puts the total magnetic moment at 1.52 μB/cell. As for the crystal system: monoclinic.

5.
DFT (PBE) results for crystalline Be2AlP at its relaxed geometry.

Lattice parameters (Å, degrees): 5.000 7.054 2.655 90.00 90.00 90.00
Fractional coordinates of all 8 atoms:
Be (0.250, 0.250, 0.000)
Be (0.250, 0.750, 0.000)
Be (0.750, 0.250, 0.000)
Be (0.750, 0.750, 0.000)
Al (0.000, 0.000, 0.500)
Al (0.500, 0.500, 0.500)
P (0.000, 0.500, 0.500)
P (0.500, 0.000, 0.500)

Calculated values
As for the symmetry: Cmmm (65). The value obtained for the density is 2.69 Mg/m³. The calculation puts the total magnetic moment at 0.00 μB/cell. As for the crystal system: orthorhombic. The energy relative to the lowest polymorph listed for this composition comes out at 188 meV/atom. The value obtained for the formation energy from the elements is 0.3348 eV per atom.

6.
DFT (PBE) results for crystalline La2YSn4 at its relaxed geometry.

Lattice parameters (Å, degrees): 5.583 5.583 16.278 90.00 90.00 90.00
Fractional coordinates of all 14 atoms:
La (0.000, 0.000, 0.121)
La (0.000, 0.000, 0.879)
La (0.500, 0.500, 0.379)
La (0.500, 0.500, 0.621)
Y (0.000, 0.000, 0.500)
Y (0.500, 0.500, 0.000)
Sn (0.000, 0.000, 0.318)
Sn (0.000, 0.000, 0.682)
Sn (0.000, 0.500, 0.000)
Sn (0.000, 0.500, 0.500)
Sn (0.500, 0.000, 0.000)
Sn (0.500, 0.000, 0.500)
Sn (0.500, 0.500, 0.182)
Sn (0.500, 0.500, 0.818)

Calculated values
As for the symmetry: I4/mmm (139). The value obtained for the density is 5.51 Mg/m³. The calculation puts the total magnetic moment at 0.00 μB/cell. As for the crystal system: tetragonal. The value obtained for the formation energy from the elements is -0.2428 eV per atom.

7.
DFT (PBE) results for crystalline LuPaCuOs at its relaxed geometry.

Lattice parameters (Å, degrees): 6.828 6.828 6.828 90.00 90.00 90.00
Fractional coordinates of all 16 atoms:
Lu (0.000, 0.000, 0.000)
Lu (0.000, 0.500, 0.500)
Lu (0.500, 0.000, 0.500)
Lu (0.500, 0.500, 0.000)
Pa (0.000, 0.000, 0.500)
Pa (0.000, 0.500, 0.000)
Pa (0.500, 0.000, 0.000)
Pa (0.500, 0.500, 0.500)
Cu (0.250, 0.250, 0.250)
Cu (0.250, 0.750, 0.750)
Cu (0.750, 0.250, 0.750)
Cu (0.750, 0.750, 0.250)
Os (0.250, 0.250, 0.750)
Os (0.250, 0.750, 0.250)
Os (0.750, 0.250, 0.250)
Os (0.750, 0.750, 0.750)

Calculated values
As for the symmetry: F-43m (216). The value obtained for the density is 13.77 Mg/m³. The calculation puts the total magnetic moment at 0.00 μB/cell. As for the crystal system: cubic. The value obtained for the formation energy from the elements is -0.2187 eV per atom.

8.
DFT (PBE) results for crystalline TePIrPt at its relaxed geometry.

Lattice parameters (Å, degrees): 6.664 3.831 6.933 90.00 108.51 90.00
Fractional coordinates of all 8 atoms:
Te (0.000, 0.000, 0.000)
Te (0.500, 0.500, 0.000)
P (0.148, 0.000, 0.442)
P (0.648, 0.500, 0.442)
Ir (0.346, 0.500, 0.537)
Ir (0.846, 0.000, 0.537)
Pt (0.100, 0.500, 0.796)
Pt (0.600, 0.000, 0.796)

Calculated values
The value obtained for the uncorrected formation energy is -198 meV per atom. As for the symmetry: Cm (8). The value obtained for the density is 10.80 Mg/m³. The calculation puts the total magnetic moment at 0.00 μB/cell. As for the crystal system: monoclinic. The energy relative to the lowest polymorph listed for this composition comes out at 104 meV/atom.